(1)
6
Lattice="-0.0493 -2.9179 3.3886 5.9167 1.6402 1.4986 -5.2907 5.4150 1.6349" Properties=species:S:1:pos:R:3 comment="Y2ErBi3 | Alexandria via LeMat-Bulk | PBE | optimized geometry" spacegroup="Immm, No. 71" formation_energy_ev_per_atom=-0.869 total_energy_ev_per_atom=-5.7249 magmom_total_mub_per_fu=0.00 dos_ef_per_ev_cell=1.23 pbc="T T T"
Er 0.2883 2.0687 3.2610
Y 4.0099 -0.1667 4.3413
Bi -0.4653 5.1046 2.9134
Bi 1.0419 -0.9673 3.6086
Y -3.4332 4.3040 2.1807
Bi -2.6700 1.2486 2.5117

=====

(2)
10
Lattice="7.8366 0.0000 0.0000 0.0000 7.8366 0.0000 0.0000 0.0000 4.4569" Properties=species:S:1:pos:R:3 comment="GePb2Se2 | Alexandria via LeMat-Bulk | PBE | optimized geometry" e_above_lowest_polymorph_mev_per_atom=0 spacegroup="P4/mbm, No. 127" total_energy_ev_per_atom=-3.9326 magmom_total_mub_per_fu=0.00 e_form_raw_mev_per_atom=-132 dos_ef_per_ev_cell=1.13 pbc="T T T"
Se 2.6248 6.5431 0.0000
Ge 3.9183 3.9183 0.0000
Pb 1.2728 5.1911 2.2285
Se 5.2118 1.2935 0.0000
Se 6.5431 5.2118 0.0000
Ge 0.0000 0.0000 0.0000
Se 1.2935 2.6248 0.0000
Pb 5.1911 6.5638 2.2285
Pb 6.5638 2.6455 2.2285
Pb 2.6455 1.2728 2.2285

=====

(3)
4
Lattice="-4.9958 -0.6798 0.8523 2.4543 -4.4802 0.2242 -0.5141 -1.4637 2.7585" Properties=species:S:1:pos:R:3 comment="CuSi2Pt | Alexandria via LeMat-Bulk | PBE | optimized geometry" e_above_lowest_polymorph_mev_per_atom=231 spacegroup="C2/m, No. 12" total_energy_ev_per_atom=-5.2424 magmom_total_mub_per_fu=0.00 e_form_raw_mev_per_atom=3 dos_ef_per_ev_cell=1.29 pbc="T T T"
Cu -2.7550 -1.0717 1.8054
Si 0.0000 0.0000 0.0000
Si -1.2707 -2.5800 0.5383
Pt 0.9701 -2.9720 1.4914

=====

(4)
4
Lattice="4.0940 0.0000 0.0000 0.0000 4.0940 0.0000 0.0000 0.0000 6.6798" Properties=species:S:1:pos:R:3 comment="ThPa2Sb | Alexandria via LeMat-Bulk | PBE | optimized geometry" e_above_lowest_polymorph_mev_per_atom=101 spacegroup="P4/mmm, No. 123" total_energy_ev_per_atom=-7.8121 magmom_total_mub_per_fu=0.00 e_form_raw_mev_per_atom=-179 dos_ef_per_ev_cell=8.66 pbc="T T T"
Pa 0.0000 0.0000 4.6996
Th 2.0470 2.0470 0.0000
Pa 0.0000 0.0000 1.9802
Sb 2.0470 2.0470 3.3399

=====

(5)
14
Lattice="-4.2317 4.0757 -3.1885 -3.9790 -5.3692 -0.1565 0.2309 3.6750 11.4287" Properties=species:S:1:pos:R:3 comment="AcTb5Pm | Alexandria via LeMat-Bulk | PBE | optimized geometry" spacegroup="C2/c, No. 15" formation_energy_ev_per_atom=0.095 total_energy_ev_per_atom=-4.4782 magmom_total_mub_per_fu=0.00 dos_ef_per_ev_cell=21.63 pbc="T T T"
Ac 0.1154 1.8375 5.7143
Pm -3.9282 1.9583 6.9476
Tb -6.4065 -2.0482 -0.2002
Tb -4.8995 -0.2123 4.4948
Tb -4.0141 5.1724 5.9158
Tb -6.3789 3.0736 4.4598
Ac 0.0000 0.0000 0.0000
Tb -3.9657 -2.7908 2.1680
Pm -4.0517 0.4233 1.1361
Tb -5.0888 0.7120 -2.1061
Tb -3.0804 2.5939 3.5889
Tb -1.6010 -0.6920 3.6240
Tb -1.5734 4.4298 8.2840
Tb -2.8911 1.6696 10.1898

=====

(6)
8
Lattice="4.9202 0.0117 1.7025 1.7556 7.3733 2.9072 -0.1934 -0.2207 8.5744" Properties=species:S:1:pos:R:3 comment="KThBr6 | Alexandria via LeMat-Bulk | PBE | optimized geometry" e_above_lowest_polymorph_mev_per_atom=21 spacegroup="P-1, No. 2" total_energy_ev_per_atom=-3.7178 magmom_total_mub_per_fu=0.00 e_form_raw_mev_per_atom=-1398 dos_ef_per_ev_cell=8.08 pbc="T T T"
Br 3.5937 6.2944 5.5680
Br 4.0313 2.0305 4.3097
Br 2.8887 0.8699 7.6160
K 0.0000 0.0000 0.0000
Th 3.2412 3.5821 6.5920
Br 1.3046 4.0723 4.2263
Br 2.4510 5.1337 8.8743
Br 5.1777 3.0920 8.9577

=====

(7)
5
Lattice="-0.3333 -3.6190 -0.7780 1.0312 -0.8410 3.4703 -5.9604 -2.0608 3.2620" Properties=species:S:1:pos:R:3 comment="HfAl2W2 | Alexandria via LeMat-Bulk | PBE | optimized geometry" e_above_lowest_polymorph_mev_per_atom=435 spacegroup="I4/mmm, No. 139" formation_energy_ev_per_atom=0.363 total_energy_ev_per_atom=-8.3058 magmom_total_mub_per_fu=0.00 dos_ef_per_ev_cell=5.62 pbc="T T T"
Al -2.9724 -3.9549 1.9150
Hf 0.0000 0.0000 0.0000
W -0.8734 -2.1972 1.7173
Al -2.2901 -2.5659 4.0392
W -4.3891 -4.3236 4.2369

=====

(8)
4
Lattice="-1.7630 -4.7006 1.6209 0.1214 -4.1348 -3.2740 3.4010 -3.9415 0.8537" Properties=species:S:1:pos:R:3 comment="LuPuAgPb | Alexandria via LeMat-Bulk | PBE | optimized geometry" spacegroup="F-43m, No. 216" formation_energy_ev_per_atom=-0.172 total_energy_ev_per_atom=-6.5252 magmom_total_mub_per_fu=6.19 dos_ef_per_ev_cell=9.93 pbc="T T T"
Pb 1.3195 -9.5827 -0.5996
Lu 0.8797 -6.3885 -0.3998
Ag 0.4398 -3.1942 -0.1999
Pu 0.0000 0.0000 0.0000